[1]
## SnCSCl2 (PBE)

Data for a relaxed SnCSCl2 crystal.

Its crystal system is tetragonal. The value obtained for the density of states at the Fermi level is 0.811 states/eV per atom. For the total DFT energy (no corrections), the calculation gives -3.001 eV per atom. The energy above the most stable polymorph in this dataset is 537 meV/atom. The spin magnetization comes out at 1.39 μB/cell. Its uncorrected formation energy is 1.209 eV/atom.

Unit cell a=5.1378 b=5.1378 c=5.0880 alpha=90.00 beta=90.00 gamma=90.00
Positions (direct):
C1 0.5000 0.5000 0.5000
S1 0.0000 0.0000 0.5000
Sn1 0.0000 0.0000 0.0000
Cl1 0.0000 0.5000 0.0000
Cl2 0.5000 0.0000 0.0000


[2]
## Ba4Co5 (PBE)

Data for a relaxed Ba4Co5 crystal.

Its crystal system is tetragonal. The value obtained for the density of states at the Fermi level is 1.619 states/eV per atom. For the total DFT energy (no corrections), the calculation gives -4.156 eV per atom. The energy above the most stable polymorph in this dataset is 0 meV/atom. The calculation puts the formation enthalpy at 0 K at 62.4 kJ/mol of atoms. The spin magnetization comes out at 5.07 μB/cell.

Unit cell a=8.6252 b=8.6252 c=8.6252 alpha=93.05 beta=93.05 gamma=153.34
Positions (direct):
Ba1 0.2550 0.0000 0.2550
Ba2 0.7450 0.0000 0.7450
Ba3 0.0000 0.7450 0.7450
Ba4 0.0000 0.2550 0.2550
Co1 0.0000 0.0000 0.0000
Co2 0.2782 0.7218 0.0000
Co3 0.7218 0.2782 0.0000
Co4 0.7218 0.7218 0.4436
Co5 0.2782 0.2782 0.5564


[3]
## NaYAs (PBE)

Data for a relaxed NaYAs crystal.

Its crystal system is tetragonal. The value obtained for the density of states at the Fermi level is 0.724 states/eV per atom. For the total DFT energy (no corrections), the calculation gives -4.865 eV per atom. The calculation puts the formation enthalpy at 0 K at -69.5 kJ/mol of atoms. The spin magnetization comes out at 0.00 μB/cell.

Unit cell a=4.9526 b=4.9526 c=7.2084 alpha=90.00 beta=90.00 gamma=90.00
Positions (direct):
Na1 0.0000 0.5000 0.8855
Na2 0.5000 0.0000 0.1145
As1 0.0000 0.5000 0.2940
As2 0.5000 0.0000 0.7060
Y1 0.5000 0.5000 0.5000
Y2 0.0000 0.0000 0.5000


[4]
## YNiSnPd (PBE)

Data for a relaxed YNiSnPd crystal.

Its crystal system is cubic. The value obtained for the density of states at the Fermi level is 0.836 states/eV per atom. For the total DFT energy (no corrections), the calculation gives -6.000 eV per atom. The calculation puts the formation enthalpy at 0 K at -61.7 kJ/mol of atoms. The spin magnetization comes out at 0.00 μB/cell.

Unit cell a=4.7200 b=4.7200 c=4.7200 alpha=60.00 beta=60.00 gamma=60.00
Positions (direct):
Y1 0.7500 0.7500 0.7500
Ni1 0.0000 0.0000 0.0000
Sn1 0.2500 0.2500 0.2500
Pd1 0.5000 0.5000 0.5000


[5]
## Th4As2PAu (PBE)

Data for a relaxed Th4As2PAu crystal.

Its crystal system is monoclinic. The value obtained for the density of states at the Fermi level is 0.679 states/eV per atom. For the total DFT energy (no corrections), the calculation gives -7.147 eV per atom. The calculation puts the formation enthalpy at 0 K at -114.7 kJ/mol of atoms. The spin magnetization comes out at 0.00 μB/cell.

Unit cell a=4.1774 b=7.4031 c=7.4036 alpha=70.91 beta=90.00 gamma=90.00
Positions (direct):
Th1 0.0000 0.7484 0.7459
Th2 0.0000 0.2516 0.2541
Th3 0.5000 0.7455 0.2600
Th4 0.5000 0.2546 0.7400
As1 0.0000 0.0000 0.0000
As2 0.5000 0.0000 0.5000
P1 0.0000 0.5000 0.5000
Au1 0.5000 0.5000 0.0000


[6]
## NaGaIrBr2 (PBE)

Data for a relaxed NaGaIrBr2 crystal.

Its crystal system is tetragonal. The value obtained for the density of states at the Fermi level is 0.324 states/eV per atom. For the total DFT energy (no corrections), the calculation gives -3.526 eV per atom. The spin magnetization comes out at 0.00 μB/cell. Its uncorrected formation energy is -0.216 eV/atom.

Unit cell a=5.4352 b=4.7234 c=5.4352 alpha=90.00 beta=90.00 gamma=90.00
Positions (direct):
Na1 0.5000 0.5000 0.5000
Ir1 0.0000 0.0000 0.0000
Ga1 0.0000 0.5000 0.0000
Br1 0.0000 0.0000 0.5000
Br2 0.5000 0.0000 0.0000


[7]
## HgPtSe2 (PBE)

Data for a relaxed HgPtSe2 crystal.

Its crystal system is cubic. The value obtained for the density of states at the Fermi level is 1.926 states/eV per atom. For the total DFT energy (no corrections), the calculation gives -2.822 eV per atom. The energy above the most stable polymorph in this dataset is 798 meV/atom. The spin magnetization comes out at 0.00 μB/cell. Its uncorrected formation energy is 0.505 eV/atom.

Unit cell a=4.8261 b=4.8261 c=4.8261 alpha=60.00 beta=60.00 gamma=60.00
Positions (direct):
Se1 0.2500 0.2500 0.2500
Se2 0.7500 0.7500 0.7500
Hg1 0.5000 0.5000 0.5000
Pt1 0.0000 0.0000 0.0000


[8]
## Ba12HPt5 (PBE)

Data for a relaxed Ba12HPt5 crystal.

Its crystal system is monoclinic. The value obtained for the density of states at the Fermi level is 0.461 states/eV per atom. For the total DFT energy (no corrections), the calculation gives -3.718 eV per atom. The spin magnetization comes out at 0.00 μB/cell.

Unit cell a=7.9453 b=7.9499 c=15.1119 alpha=94.85 beta=99.74 gamma=60.02
Positions (direct):
Ba1 0.7968 0.0000 0.3855
Ba2 0.2032 0.0000 0.6145
Ba3 0.6321 0.0000 0.8870
Ba4 0.3679 0.0000 0.1130
Ba5 0.2940 0.6695 0.8875
Ba6 0.0364 0.6695 0.1125
Ba7 0.9636 0.3305 0.8875
Ba8 0.7060 0.3305 0.1125
Ba9 0.5374 0.3330 0.6147
Ba10 0.8703 0.6671 0.6147
Ba11 0.1297 0.3330 0.3853
Ba12 0.4626 0.6671 0.3853
H1 0.0000 0.0000 0.0000
Pt1 0.5000 0.0000 0.5000
Pt2 0.1670 0.6660 0.5000
Pt3 0.8330 0.3340 0.5000
Pt4 0.6666 0.6668 0.0000
Pt5 0.3334 0.3332 0.0000


[9]
## Sm2GePd8 (PBE)

Data for a relaxed Sm2GePd8 crystal.

Its crystal system is orthorhombic. The value obtained for the density of states at the Fermi level is 0.316 states/eV per atom. For the total DFT energy (no corrections), the calculation gives -5.678 eV per atom. The calculation puts the formation enthalpy at 0 K at -60.2 kJ/mol of atoms. The spin magnetization comes out at 0.00 μB/cell.

Unit cell a=4.7135 b=5.9735 c=8.0292 alpha=111.85 beta=107.07 gamma=90.00
Positions (direct):
Sm1 0.8136 0.3137 0.6272
Sm2 0.1864 0.6863 0.3728
Ge1 0.5000 0.0000 0.0000
Pd1 0.3684 0.6121 0.7368
Pd2 0.6315 0.8749 0.2630
Pd3 0.8170 0.8171 0.6339
Pd4 0.0000 0.2381 0.0000
Pd5 0.1830 0.1829 0.3661
Pd6 0.3685 0.1251 0.7370
Pd7 0.6316 0.3879 0.2632
Pd8 0.0000 0.7619 0.0000


[10]
## CoRe2Si (PBE)

Data for a relaxed CoRe2Si crystal.

Its crystal system is tetragonal. The value obtained for the density of states at the Fermi level is 0.711 states/eV per atom. For the total DFT energy (no corrections), the calculation gives -8.108 eV per atom. The spin magnetization comes out at 0.00 μB/cell. Its uncorrected formation energy is 1.248 eV/atom.

Unit cell a=5.5355 b=5.5355 c=6.3120 alpha=63.99 beta=63.99 gamma=90.00
Positions (direct):
Re1 0.6471 0.1250 0.2500
Re2 0.1029 0.6250 0.2500
Re3 0.3750 0.3529 0.7500
Re4 0.8750 0.8971 0.7500
Si1 0.5000 0.5000 0.0000
Si2 0.2500 0.7500 0.5000
Co1 0.0000 0.0000 0.0000
Co2 0.7500 0.2500 0.5000


[11]
## Ba2BeAg (PBE)

Data for a relaxed Ba2BeAg crystal.

Its crystal system is tetragonal. The value obtained for the density of states at the Fermi level is 1.013 states/eV per atom. For the total DFT energy (no corrections), the calculation gives -2.402 eV per atom. The calculation puts the formation enthalpy at 0 K at 19.7 kJ/mol of atoms. The spin magnetization comes out at 0.00 μB/cell.

Unit cell a=5.7559 b=5.7543 c=4.0160 alpha=90.00 beta=90.00 gamma=90.00
Positions (direct):
Be1 0.5000 0.0000 0.5000
Ba1 0.0000 0.0000 0.0000
Ba2 0.5000 0.5000 0.0000
Ag1 0.0000 0.5000 0.5000


[12]
## TcSbBr2 (PBE)

Data for a relaxed TcSbBr2 crystal.

Its crystal system is orthorhombic. The value obtained for the density of states at the Fermi level is 0.602 states/eV per atom. For the total DFT energy (no corrections), the calculation gives -3.606 eV per atom. The energy above the most stable polymorph in this dataset is 843 meV/atom. The spin magnetization comes out at 3.61 μB/cell. Its uncorrected formation energy is 0.852 eV/atom.

Unit cell a=5.5400 b=5.5400 c=3.2991 alpha=90.00 beta=90.00 gamma=105.94
Positions (direct):
Sb1 0.5000 0.0000 0.5000
Tc1 0.0000 0.5000 0.5000
Br1 0.0000 0.0000 0.0000
Br2 0.5000 0.5000 0.0000